# 1
# FeCl3

FeCl3 after structural relaxation (PBE, OQMD).

Cell: 4.6891 4.6891 4.6891 Å, 90.00 90.00 90.00°
With the nearest neighbours (Å) after each atom.
Element x y z (fractional)
Fe  0.0000  0.0000  0.0000  6 Cl 2.34
Cl  0.0000  0.0000  0.5000  2 Fe 2.34
Cl  0.0000  0.5000  0.0000  2 Fe 2.34
Cl  0.5000  0.0000  0.0000  2 Fe 2.34

Computed properties:
The symmetry is Pm-3m (221). The total DFT energy (no corrections) comes out at -3.97 eV per atom. The value obtained for the total magnetic moment is 4.22 μB/cell.

# 2
# TbHoCoGe2

TbHoCoGe2 after structural relaxation (PBE, OQMD).

Cell: 5.6304 5.6304 10.1972 Å, 115.46 115.46 43.64°
With the nearest neighbours (Å) after each atom.
Element x y z (fractional)
Tb  0.0055  0.0055  0.3329  7 Ge 2.94-3.20, 4 Co 2.99-3.19
Tb  0.9945  0.9945  0.6671  7 Ge 2.94-3.20, 4 Co 2.99-3.19
Ho  0.1890  0.1890  0.1159  6 Ge 2.92-3.08, 2 Co 3.02
Ho  0.8110  0.8110  0.8841  6 Ge 2.92-3.08, 2 Co 3.02
Co  0.2749  0.2749  0.6558  4 Ge 2.39-2.60
Co  0.7251  0.7251  0.3442  4 Ge 2.39-2.60
Ge  0.3407  0.3407  0.4391  3 Co 2.39-2.60
Ge  0.4865  0.4865  0.1222  1 Co 2.47, 1 Ge 2.63
Ge  0.5135  0.5135  0.8778  1 Co 2.47, 1 Ge 2.63
Ge  0.6593  0.6593  0.5609  3 Co 2.39-2.60

Computed properties:
The symmetry is C2/m (12). The total DFT energy (no corrections) comes out at -5.86 eV per atom. The value obtained for the total magnetic moment is 0.02 μB/cell.

# 3
# Lu2ZnNi

Lu2ZnNi after structural relaxation (PBE, OQMD).

Cell: 4.6796 4.6796 4.6796 Å, 60.00 60.00 60.00°
With the nearest neighbours (Å) after each atom.
Element x y z (fractional)
Lu  0.0000  0.0000  0.0000  4 Ni 2.87, 4 Lu 2.87
Lu  0.2500  0.2500  0.2500  4 Zn 2.87, 4 Lu 2.87
Zn  0.5000  0.5000  0.5000  4 Ni 2.87, 4 Lu 2.87
Ni  0.7500  0.7500  0.7500  4 Zn 2.87, 4 Lu 2.87

Computed properties:
The symmetry is F-43m (216). The total DFT energy (no corrections) comes out at -4.06 eV per atom. The value obtained for the total magnetic moment is 0.00 μB/cell. Its formation energy is -0.36 eV per formula unit.

# 4
# Al2CdHg

Al2CdHg after structural relaxation (PBE, OQMD).

Cell: 4.9061 4.9061 4.9061 Å, 60.00 60.00 60.00°
With the nearest neighbours (Å) after each atom.
Element x y z (fractional)
Al  0.0000  0.0000  0.0000  4 Cd 3.00, 4 Al 3.00
Al  0.2500  0.2500  0.2500  4 Hg 3.00, 4 Al 3.00
Cd  0.7500  0.7500  0.7500  4 Hg 3.00, 4 Al 3.00
Hg  0.5000  0.5000  0.5000  4 Cd 3.00, 4 Al 3.00

Computed properties:
The symmetry is F-43m (216). The total DFT energy (no corrections) comes out at -1.94 eV per atom.

Q: Look up the total DFT energy (no corrections) of the second one.
A: -5.86 eV per atom